A plane-wave DFT calculation with PBE was carried out for a relaxed YSnAsSe2 crystal.

```
5
Lattice="-0.2006 0.2122 -5.2154 -1.5353 -4.9908 -0.1440 -4.9304 1.5095 0.2510" Properties=species:S:1:pos:R:3 pbc="T T T"
Y -3.3332 -1.6345 -2.5542
As -2.4652 0.7548 0.1255
Sn 0.0000 0.0000 0.0000
Se -0.7677 -2.4954 -0.0720
Se -0.1003 0.1061 -2.6077
```

## Properties
Uncorrected formation energy (eV per atom): -0.13
Magnetization (μB per atom): 0.0000

---

A plane-wave DFT calculation with PBE was carried out for a relaxed Y4SnAsSe2 crystal.

```
8
Lattice="4.1869 0.0000 0.0000 0.0000 7.2456 -0.1402 0.0000 2.5538 6.8126" Properties=species:S:1:pos:R:3 pbc="T T T"
Y 0.0001 7.3311 4.9563
Y 4.1869 2.4683 1.7160
Y 2.0935 6.0405 1.6597
Y 2.0935 3.7590 5.0126
Sn 2.0935 3.6228 -0.0701
As 0.0000 4.8997 3.3362
Se 0.0000 2.5538 6.8126
Se 2.0935 1.2769 3.4063
```

## Properties
Uncorrected formation energy (eV per atom): -1.48
Magnetization (μB per atom): 0.0000

---

A plane-wave DFT calculation with PBE was carried out for a relaxed ZnSnAs2Se crystal.

```
5
Lattice="-5.1652 -1.2682 0.2947 1.2711 -5.1728 0.0197 0.2799 0.0889 5.2888" Properties=species:S:1:pos:R:3 pbc="T T T"
Zn -1.8071 -3.1760 2.8016
As 0.6356 -2.5864 0.0098
As -2.5826 -0.6341 0.1473
Sn 0.0000 0.0000 0.0000
Se 0.1399 0.0444 2.6444
```

## Properties
Uncorrected formation energy (eV per atom): 0.82
Magnetization (μB per atom): 0.2387